(1)
Compound: TmTaBe
Source: the Open Quantum Materials Database
Functional: GGA-PBE
Structure: optimized geometry

Cell and atoms, written as POSCAR:
```
TmTaBe
1.0
0.0000 3.2446 3.2446
3.2446 0.0000 3.2446
3.2446 3.2446 0.0000
Be Ta Tm
1 1 1
Cartesian
1.6223 1.6223 1.6223 Be
4.8669 4.8669 4.8669 Ta
0.0000 0.0000 0.0000 Tm
```

Properties
- distance to the lowest polymorph of the same formula (meV per atom) = 1084



(2)
Compound: Gd2Ga
Source: the Open Quantum Materials Database
Functional: GGA-PBE
Structure: optimized geometry

Cell and atoms, written as POSCAR:
```
Gd2Ga
1.0
0.0000 4.3818 4.3818
4.3818 0.0000 4.3818
4.3818 4.3818 0.0000
Ga Gd
2 4
Cartesian
0.0000 0.0000 0.0000 Ga
2.1909 2.1909 2.1909 Ga
3.2864 3.2864 5.4773 Gd
3.2864 5.4773 3.2864 Gd
5.4773 3.2864 3.2864 Gd
5.4773 5.4773 5.4773 Gd
```

Properties
- final energy (eV/atom) = -3.81



(3)
Compound: TmPa
Source: the Open Quantum Materials Database
Functional: GGA-PBE
Structure: optimized geometry

Cell and atoms, written as POSCAR:
```
TmPa
1.0
0.0000 3.1154 3.1154
3.1154 0.0000 3.1154
3.1154 3.1154 0.0000
Pa Tm
1 1
Cartesian
0.0000 0.0000 0.0000 Pa
3.1154 3.1154 3.1154 Tm
```

Properties
- DFT formation energy (eV per atom) = 1.3375
- distance to the lowest polymorph of the same formula (meV per atom) = 1186